Model one:
PrInBi2: optimized geometry, GGA-PBE.

The space group is Pmmn (No. 59, origin choice 2) and the conventional cell measures 5.957, 6.691 and 6.104 Å, with angles of 90.00, 90.00 and 90.00 degrees. The inequivalent atoms are Pr at (0.250, 0.250, 0.152), In at (0.250, 0.750, 0.163) and Bi at (0.250, 0.506, 0.665).

The value obtained for the calculated density is 9196 kg/m3. The density of states at the Fermi level comes out at 0.49 states/eV/atom. The value obtained for the total moment is 0.00 μB per formula unit.


Model two:
PrInBi2: optimized geometry, GGA-PBE.

The space group is R3m (No. 160, hexagonal axes) and the conventional cell measures 5.1128, 5.1128 and 18.9726 Å, with angles of 90.00, 90.00 and 120.00 degrees. The inequivalent atoms are Pr at (0.0000, 0.0000, 0.0000), In at (0.0000, 0.0000, 0.1761), Bi at (0.0000, 0.0000, 0.4142) and Bi at (0.0000, 0.0000, 0.5826).

The value obtained for the calculated density is 7814 kg/m3. The density of states at the Fermi level comes out at 0.74 states/eV/atom. The value obtained for the total moment is 0.00 μB per formula unit.


Model three:
PrInBi2: optimized geometry, GGA-PBE.

The space group is R-3m (No. 166, hexagonal axes) and the conventional cell measures 3.4858, 3.4858 and 38.1259 Å, with angles of 90.00, 90.00 and 120.00 degrees. The inequivalent atoms are Pr at (0.0000, 0.0000, 0.0000), In at (0.0000, 0.0000, 0.5000) and Bi at (0.0000, 0.0000, 0.0868).

The value obtained for the calculated density is 8365 kg/m3. The density of states at the Fermi level comes out at 0.70 states/eV/atom. The value obtained for the total moment is 0.00 μB per formula unit.


Which of them is the most stable, and which is the least stable? model one and model three, in that order.


Model one:
PrInBi2: optimized geometry, GGA-PBE.

The space group is P4/mmm (No. 123) and the conventional cell measures 5.132, 5.132 and 4.577 Å, with angles of 90.00, 90.00 and 90.00 degrees. The inequivalent atoms are Pr at (0.000, 0.000, 0.000), In at (0.500, 0.500, 0.000) and Bi at (0.000, 0.500, 0.500).

The value obtained for the calculated density is 9283 kg/m3. The density of states at the Fermi level comes out at 0.49 states/eV/atom. The value obtained for the total moment is 0.00 μB per formula unit.


Model two:
PrInBi2: optimized geometry, GGA-PBE.

The space group is P4/nmm (No. 129, origin choice 2) and the conventional cell measures 4.641, 4.641 and 11.539 Å, with angles of 90.00, 90.00 and 90.00 degrees. The inequivalent atoms are Pr at (0.250, 0.250, 0.228), In at (0.250, 0.750, 0.500), Bi at (0.250, 0.250, 0.731) and Bi at (0.250, 0.750, 0.000).

The value obtained for the calculated density is 9002 kg/m3. The density of states at the Fermi level comes out at 0.53 states/eV/atom. The value obtained for the total moment is 0.00 μB per formula unit.


Which of them is the most stable, and which is the least stable? model one and model two, in that order.


Model one:
Pr2InBi: optimized geometry, GGA-PBE.

The space group is C2/m (No. 12) and the conventional cell measures 7.684, 4.425 and 8.546 Å, with angles of 90.00, 107.32 and 90.00 degrees. The inequivalent atoms are Pr at (0.246, 0.000, 0.238), In at (0.000, 0.000, 0.500) and Bi at (0.000, 0.500, 0.000).

The value obtained for the calculated density is 7250 kg/m3. The density of states at the Fermi level comes out at 0.59 states/eV/atom. The value obtained for the total moment is 0.00 μB per formula unit.


Model two:
Pr2InBi: optimized geometry, GGA-PBE.

The space group is P4/mmm (No. 123) and the conventional cell measures 4.171, 4.171 and 7.074 Å, with angles of 90.00, 90.00 and 90.00 degrees. The inequivalent atoms are Pr at (0.000, 0.000, 0.247), In at (0.500, 0.500, 0.500) and Bi at (0.500, 0.500, 0.000).

The value obtained for the calculated density is 8171 kg/m3. The density of states at the Fermi level comes out at 0.64 states/eV/atom. The value obtained for the total moment is 0.00 μB per formula unit.


Model three:
Pr2InBi: optimized geometry, GGA-PBE.

The space group is Cmcm (No. 63) and the conventional cell measures 4.727, 25.253 and 4.548 Å, with angles of 90.00, 90.00 and 90.00 degrees. The inequivalent atoms are Pr at (0.000, 0.063, 0.250), Pr at (0.000, 0.318, 0.250), In at (0.000, 0.460, 0.250) and Bi at (0.000, 0.189, 0.250).

The value obtained for the calculated density is 7410 kg/m3. The density of states at the Fermi level comes out at 0.62 states/eV/atom. The value obtained for the total moment is 0.00 μB per formula unit.


Which of them is the most stable, and which is the least stable? model three and model one, in that order.


Model one:
Pr2InBi: optimized geometry, GGA-PBE.

The space group is R-3m (No. 166, hexagonal axes) and the conventional cell measures 3.5651, 3.5651 and 36.5968 Å, with angles of 90.00, 90.00 and 120.00 degrees. The inequivalent atoms are Pr at (0.0000, 0.0000, 0.0902), In at (0.0000, 0.0000, 0.0000) and Bi at (0.0000, 0.0000, 0.5000).

The value obtained for the calculated density is 7490 kg/m3. The density of states at the Fermi level comes out at 1.28 states/eV/atom. The value obtained for the total moment is 0.00 μB per formula unit.


Model two:
Pr2InBi: optimized geometry, GGA-PBE.

The space group is Fm-3m (No. 225) and the conventional cell measures 7.931, 7.931 and 7.931 Å, with angles of 90.00, 90.00 and 90.00 degrees. The inequivalent atoms are Pr at (0.250, 0.250, 0.250), In at (0.000, 0.000, 0.000) and Bi at (0.000, 0.000, 0.500).

The value obtained for the calculated density is 8064 kg/m3. The density of states at the Fermi level comes out at 1.31 states/eV/atom. The value obtained for the total moment is 0.00 μB per formula unit.


Which of them is the most stable, and which is the least stable? model two and model one, in that order.


Model one:
In2BiPt2: optimized geometry, GGA-PBE.

The space group is P4/mbm (No. 127) and the conventional cell measures 8.157, 8.157 and 3.129 Å, with angles of 90.00, 90.00 and 90.00 degrees. The inequivalent atoms are In at (0.144, 0.356, 0.000), Bi at (0.000, 0.000, 0.500) and Pt at (0.152, 0.652, 0.500).

The value obtained for the calculated density is 13220 kg/m3. The density of states at the Fermi level comes out at 0.51 states/eV/atom. The value obtained for the total moment is 0.00 μB per formula unit.


Model two:
In2BiPt2: optimized geometry, GGA-PBE.

The space group is I4/mmm (No. 139) and the conventional cell measures 4.184, 4.184 and 12.614 Å, with angles of 90.00, 90.00 and 90.00 degrees. The inequivalent atoms are In at (0.000, 0.500, 0.250), Bi at (0.000, 0.000, 0.000) and Pt at (0.000, 0.000, 0.393).

The value obtained for the calculated density is 12465 kg/m3. The density of states at the Fermi level comes out at 0.49 states/eV/atom. The value obtained for the total moment is 0.00 μB per formula unit.


Which of them is the most stable, and which is the least stable? model one and model two, in that order.


Model one:
PuInBi: optimized geometry, GGA-PBE.

The space group is P-62m (No. 189) and the conventional cell measures 8.5464, 8.5464 and 4.2091 Å, with angles of 90.00, 90.00 and 120.00 degrees. The inequivalent atoms are Pu at (0.0000, 0.6148, 0.0000), In at (0.0000, 0.2749, 0.5000), Bi at (0.0000, 0.0000, 0.0000) and Bi at (0.3333, 0.6667, 0.5000).

The value obtained for the calculated density is 10624 kg/m3. The density of states at the Fermi level comes out at 3.75 states/eV/atom. The value obtained for the total moment is 6.11 μB per formula unit.


Model two:
PuInBi: optimized geometry, GGA-PBE.

The space group is P-6m2 (No. 187) and the conventional cell measures 5.4499, 5.4499 and 3.3385 Å, with angles of 90.00, 90.00 and 120.00 degrees. The inequivalent atoms are Pu at (0.0000, 0.0000, 0.0000), In at (0.6667, 0.3333, 0.5000) and Bi at (0.3333, 0.6667, 0.5000).

The value obtained for the calculated density is 10980 kg/m3. The density of states at the Fermi level comes out at 3.35 states/eV/atom. The value obtained for the total moment is 6.11 μB per formula unit.


Which of them is the most stable, and which is the least stable? model two and model one, in that order.